80
Lattice="-5.913 5.913 5.913 5.913 -5.913 5.913 5.913 5.913 -5.913" Properties=species:S:1:pos:R:3 comment="PBE Mg3Mn5N12, relaxed" vol_a3_per_atom=10.34 total_energy_ev_per_atom=-7.452 pbc="T T T"
Mg 2.957 1.478 0.000
Mg 5.913 2.957 -1.478
Mg 1.478 0.000 2.957
Mg 7.392 0.000 2.957
Mg 0.000 2.957 1.478
Mg 2.957 -1.478 5.913
Mg 2.957 7.392 0.000
Mg 5.913 2.957 4.435
Mg -1.478 5.913 2.957
Mg 4.435 5.913 2.957
Mg 0.000 2.957 7.392
Mg 2.957 4.435 5.913
Mn 0.000 0.000 0.000
Mn 2.957 2.957 -2.957
Mn 2.957 -2.957 2.957
Mn 5.913 0.000 0.000
Mn 8.870 1.478 0.000
Mn 5.913 -2.957 4.435
Mn 4.435 5.913 -2.957
Mn 4.435 0.000 2.957
Mn 2.957 4.435 0.000
Mn 5.913 2.957 1.478
Mn -2.957 2.957 2.957
Mn 0.000 5.913 0.000
Mn 0.000 0.000 5.913
Mn 2.957 2.957 2.957
Mn 0.000 2.957 4.435
Mn 2.957 1.478 5.913
Mn 1.478 5.913 2.957
Mn 1.478 0.000 8.870
Mn 0.000 8.870 1.478
Mn -2.957 4.435 5.913
N 1.769 -0.457 0.696
N 7.101 3.652 -3.414
N 5.456 -0.696 1.769
N 9.327 -1.188 2.261
N 7.682 0.457 0.696
N 7.101 -2.261 3.414
N 0.696 1.769 -0.457
N 8.174 2.500 -1.188
N 3.652 3.414 -1.188
N 5.218 1.769 0.457
N -0.457 0.696 1.769
N 3.414 -1.188 3.652
N 5.456 5.218 -1.769
N 3.414 1.188 2.261
N 5.218 -1.769 5.456
N 3.652 -3.414 7.101
N 2.261 3.414 1.188
N 6.609 4.144 0.457
N 1.769 5.456 -0.696
N 7.101 2.261 2.500
N 3.414 7.101 -2.261
N 5.456 0.696 4.144
N 1.188 2.261 3.414
N 1.769 0.457 5.218
N 4.144 5.456 0.696
N 4.726 3.652 2.500
N 0.457 5.218 1.769
N 2.500 -1.188 8.174
N -1.188 3.652 3.414
N 4.144 0.457 6.609
N -0.696 1.769 5.456
N 3.652 2.500 4.726
N 2.261 9.327 -1.188
N 0.696 7.682 0.457
N 2.500 4.726 3.652
N 0.457 0.696 7.682
N 2.500 7.101 2.261
N 6.370 5.218 4.144
N 0.696 4.144 5.456
N 2.261 2.500 7.101
N -2.261 3.414 7.101
N 5.218 4.144 6.370
N -1.188 8.174 2.500
N -1.769 5.456 5.218
N -3.414 7.101 3.652
N 0.457 6.609 4.144
N -1.188 2.261 9.327
N 4.144 6.370 5.218